# AgAu2F8

AgAu2F8 after structural relaxation (PBEsol, Alexandria).

Cell lengths 5.2634, 5.5149, 11.0471 Å; angles 90.00, 90.00, 94.86 degrees
Last column: nearest neighbours and their distance in Å.
Atoms (fractional coordinates):
1 Ag 0.0000 0.5000 0.5000  4 F 2.10-2.19
2 Ag 0.5000 0.0000 0.0000  4 F 2.10-2.19
3 Au 0.7266 0.9795 0.6813  4 F 1.92-1.96
4 Au 0.7734 0.5205 0.1813  4 F 1.92-1.96
5 Au 0.2266 0.4795 0.8187  4 F 1.92-1.96
6 Au 0.2734 0.0205 0.3187  4 F 1.92-1.96
7 F 0.2883 0.7331 0.2223  1 Au 1.92
8 F 0.2117 0.7669 0.7223  1 Au 1.92
9 F 0.7117 0.2669 0.7777  1 Au 1.92
10 F 0.7883 0.2331 0.2777  1 Au 1.92
11 F 0.3019 0.2037 0.1700  1 Au 1.93
12 F 0.1981 0.2963 0.6700  1 Au 1.93
13 F 0.7868 0.8227 0.0877  1 Au 1.96, 1 Ag 2.10
14 F 0.7132 0.6773 0.5877  1 Au 1.96, 1 Ag 2.10
15 F 0.2132 0.1773 0.9123  1 Au 1.96, 1 Ag 2.10
16 F 0.2868 0.3227 0.4123  1 Au 1.96, 1 Ag 2.10
17 F 0.7423 0.3371 0.0300  1 Au 1.95
18 F 0.7577 0.1629 0.5300  1 Au 1.95
19 F 0.2577 0.6629 0.9700  1 Au 1.95
20 F 0.2423 0.8371 0.4700  1 Au 1.95
21 F 0.8019 0.7037 0.3300  1 Au 1.93
22 F 0.6981 0.7963 0.8300  1 Au 1.93

Properties
The value obtained for the formation energy without anion corrections is -1.057 eV/atom. For the magnetization, the calculation gives 0.098 μB/atom. The value obtained for the uncorrected energy is -0.1276 hartree per atom.